1.
## ZrTlAsClO (PBE-GGA)

Data for an optimized crystal structure of ZrTlAsClO.

extended XYZ file:
```
5
Lattice="-0.543 0.014 -3.358 3.009 -4.721 -0.505 -4.674 -3.246 2.497" Properties=species:S:1:pos:R:3 pbc="T T T"
Cl -0.995 -0.537 -0.903
As -2.913 -5.140 -0.586
Zr -4.238 -2.662 -0.360
O -3.088 -2.095 1.180
Tl -0.412 -3.687 0.729
```

Calculated values
relative energy among the computed polymorphs	0	kJ/mol of formula units
E_form (uncorrected)	-1.36	eV per atom
total DFT energy (no corrections)	-29.18	eV per cell

2.
## Dy8Tm5Pu (PBE-GGA)

Data for an optimized crystal structure of Dy8Tm5Pu.

extended XYZ file:
```
14
Lattice="-2.602 -3.075 -7.281 -2.323 -5.363 5.923 -3.310 7.390 1.917" Properties=species:S:1:pos:R:3 pbc="T T T"
Tm -2.956 2.157 -2.682
Tm -3.117 -3.966 -5.464
Tm -5.345 -6.398 -1.219
Tm -6.207 -1.262 0.116
Tm -1.094 -0.936 -1.512
Dy -6.651 0.427 3.191
Dy -2.436 4.120 1.515
Dy -3.353 0.119 0.600
Dy -4.079 -1.033 -3.102
Dy -4.739 3.702 5.009
Dy -3.457 -0.526 4.295
Dy -3.544 -3.341 0.311
Dy -5.391 2.803 -0.387
Pu -4.295 2.092 2.579
```

Calculated values
formation enthalpy at 0 K	0.291	eV per atom
total DFT energy (no corrections)	-69.44	eV per cell

3.
## LaNdEr14 (PBE-GGA)

Data for an optimized crystal structure of LaNdEr14.

extended XYZ file:
```
16
Lattice="7.045 -0.839 0.000 -2.771 6.531 0.000 0.000 0.000 11.433" Properties=species:S:1:pos:R:3 pbc="T T T"
Nd -0.728 4.997 5.717
Er 5.823 0.078 8.613
Er -0.968 2.956 0.000
Er 2.289 0.503 2.797
Er 4.430 3.353 2.797
Er 5.823 0.078 2.820
Er 2.289 0.503 8.637
Er 1.165 5.797 0.000
Er 0.914 3.764 2.836
Er -2.362 6.224 0.000
Er 0.914 3.764 8.597
Er 4.430 3.353 8.637
Er 0.656 1.729 5.717
Er 2.796 4.580 5.717
Er 2.543 2.541 0.000
La 4.174 1.316 5.717
```

Calculated values
formation enthalpy at 0 K	0.014	eV per atom
total DFT energy (no corrections)	-73.35	eV per cell

4.
## TiGa3Cu (PBE-GGA)

Data for an optimized crystal structure of TiGa3Cu.

extended XYZ file:
```
5
Lattice="4.563 0.000 0.000 0.000 4.563 0.000 0.000 0.000 4.563" Properties=species:S:1:pos:R:3 pbc="T T T"
Ga 0.000 0.000 2.282
Ga 0.000 2.282 0.000
Ga 2.282 0.000 0.000
Cu 0.000 0.000 0.000
Ti 2.282 2.282 2.282
```

Calculated values
formation enthalpy at 0 K	0.389	eV per atom
relative energy among the computed polymorphs	243	kJ/mol of formula units
total DFT energy (no corrections)	-19.13	eV per cell

5.
## Sm4Cu3Ge (PBE-GGA)

Data for an optimized crystal structure of Sm4Cu3Ge.

extended XYZ file:
```
8
Lattice="4.073 0.000 0.000 0.000 4.309 0.000 0.000 0.000 10.695" Properties=species:S:1:pos:R:3 pbc="T T T"
Ge 2.037 2.154 0.797
Sm 0.000 2.154 9.144
Sm 2.037 2.154 3.834
Sm 2.037 0.000 6.842
Sm 0.000 0.000 1.536
Cu 0.000 0.000 4.639
Cu 2.037 0.000 9.935
Cu 0.000 2.154 6.052
```

Calculated values
formation enthalpy at 0 K	-0.346	eV per atom
total DFT energy (no corrections)	-38.55	eV per cell

6.
## TbZrGaRh (PBE-GGA)

Data for an optimized crystal structure of TbZrGaRh.

extended XYZ file:
```
4
Lattice="-0.791 -2.896 -3.809 1.433 -4.631 0.136 -3.292 -3.549 0.294" Properties=species:S:1:pos:R:3 pbc="T T T"
Tb 0.000 0.000 0.000
Zr -1.325 -5.538 -1.689
Rh -1.987 -8.307 -2.533
Ga -0.662 -2.769 -0.844
```

Calculated values
formation enthalpy at 0 K	-0.547	eV per atom
total DFT energy (no corrections)	-25.75	eV per cell

7.
## Tb3Sm5Tm (PBE-GGA)

Data for an optimized crystal structure of Tb3Sm5Tm.

extended XYZ file:
```
18
Lattice="6.713 0.000 0.000 -3.356 10.578 -5.801 0.000 -4.406 11.072" Properties=species:S:1:pos:R:3 pbc="T T T"
Sm -1.293 2.369 5.954
Sm 2.987 6.359 -2.783
Sm 3.725 4.156 2.754
Sm 4.578 -1.102 2.768
Sm -0.369 2.016 2.518
Sm 0.369 -0.187 8.054
Sm 2.134 -3.305 8.304
Sm 2.063 1.600 4.854
Sm 4.650 3.803 -0.682
Sm 1.293 4.572 0.418
Tb 0.000 0.000 0.000
Tb 2.991 1.374 1.004
Tb 0.365 4.798 4.267
Tb -0.365 7.001 -1.269
Tb 3.721 -0.829 6.541
Tb 0.000 -2.203 5.536
Tm 5.416 -3.305 8.304
Tm 1.297 -1.102 2.768
```

Calculated values
formation enthalpy at 0 K	0.201	eV per atom
relative energy among the computed polymorphs	0	kJ/mol of formula units
total DFT energy (no corrections)	-80.30	eV per cell

8.
## BeOsRu2 (PBE-GGA)

Data for an optimized crystal structure of BeOsRu2.

extended XYZ file:
```
8
Lattice="-1.279 -2.322 -2.552 3.168 -1.868 0.112 -2.171 -7.018 4.821" Properties=species:S:1:pos:R:3 pbc="T T T"
Be 0.971 -5.490 1.856
Be 0.945 -2.095 -1.220
Os 0.000 0.000 0.000
Os -1.253 -5.717 0.525
Ru -0.905 -3.364 -0.294
Ru -0.818 -6.895 2.704
Ru -0.077 -8.869 1.477
Ru 1.236 -3.287 0.874
```

Calculated values
formation enthalpy at 0 K	0.621	eV per atom
total DFT energy (no corrections)	-62.05	eV per cell